Entry 1:
Density functional theory data (PBE) for a relaxed structure of Mg2Ge2Mo.

Unit cell a=3.692 b=3.692 c=7.825 alpha=76.35 beta=76.35 gamma=90.00
Site moments in Bohr magnetons follow the coordinates.
Positions (direct):
1 Mg 0.402 0.402 0.195  -0.01
2 Mg 0.598 0.598 0.805  -0.01
3 Mo 0.000 0.000 0.000  2.14
4 Ge 0.750 0.250 0.500  -0.04
5 Ge 0.250 0.750 0.500  -0.04

Results
formation enthalpy at 0 K = 0.58 eV/atom
space group = I4/mmm, No. 139


Entry 2:
Density functional theory data (PBE) for a relaxed structure of CsRb2VCl6.

Unit cell a=7.952 b=7.952 c=7.952 alpha=60.00 beta=60.00 gamma=90.00
Site moments in Bohr magnetons follow the coordinates.
Positions (direct):
1 Cs 0.000 0.000 0.000  0.00
2 Cl 0.287 0.287 0.425  -0.01
3 Cl 0.713 0.713 0.575  -0.01
4 Cl 0.287 0.287 0.000  -0.01
5 Cl 0.713 0.713 0.000  -0.01
6 Cl 0.713 0.287 0.000  -0.01
7 Cl 0.287 0.713 0.000  -0.01
8 Rb 0.750 0.250 0.500  0.00
9 Rb 0.250 0.750 0.500  0.00
10 V 0.500 0.500 0.000  1.84

Results
space group = Fm-3m, No. 225
formation energy (no corrections) = -1.631 eV per atom